VASP calculation (GGA+U) on an optimized crystal structure of Ba2CaEr3Ni2O10. Values from VASP.

Cell and atoms, written as Quantum ESPRESSO input:
```
&SYSTEM
  ibrav = 0, nat = 18, ntyp = 5
/
ATOMIC_SPECIES
Ca 40.08 Ca.upf
O 16.00 O.upf
Ni 58.69 Ni.upf
Ba 137.33 Ba.upf
Er 167.26 Er.upf
ATOMIC_POSITIONS angstrom
Ca 0.4884 3.4526 -0.0006
O 1.1592 1.2085 0.8859
O 1.1592 8.5340 5.4072
O -1.1974 4.7880 0.8697
O 2.8449 3.4526 -0.0006
O 1.1812 3.5680 2.4069
O -2.7965 4.8713 3.1466
O -1.1974 4.9545 5.4234
O -1.1590 7.0548 2.3408
O 1.1812 6.1745 3.8862
O -1.1590 2.6877 3.9523
Ni 2.8032 7.3041 4.7161
Ni 2.8032 2.4384 1.5770
Ba 2.8207 5.8785 1.5568
Ba 2.8207 3.8640 4.7363
Er -5.1281 4.8713 3.1466
Er 5.1437 3.4526 -0.0006
Er -0.4908 4.8713 3.1466
CELL_PARAMETERS angstrom
5.6387 3.4526 -0.0006
-5.6387 3.4526 -0.0006
0.0000 2.8373 6.2944
```

Calculated values
The calculation puts the total energy at -6.78 eV/atom. The value obtained for the size of the total moment is 2.99 μB/f.u.